# 1
Here is Ho2Be3ZnCu12 after structural relaxation from the Alexandria database. Energies are from PBE-GGA.

Computed properties:
SG: R-3m
Formation energy in meV/atom: 307
Calculated density in g/cm3: 6.970
Energy in Ha/atom: -0.1332

Cell and atoms, written as CIF:
```
data_Ho2Be3ZnCu12
_chemical_formula_sum 'Ho2 Be3 Zn1 Cu12'
_cell_length_a 7.214
_cell_length_b 7.214
_cell_length_c 7.214
_cell_angle_alpha 62.86
_cell_angle_beta 62.86
_cell_angle_gamma 62.86
_symmetry_space_group_name_H-M 'P 1'
_symmetry_Int_Tables_number 1
loop_
_symmetry_equiv_pos_as_xyz
'x,y,z'
loop_
_atom_site_label
_atom_site_fract_x
_atom_site_fract_y
_atom_site_fract_z
Ho1 0.398 0.398 0.398
Cu1 0.661 0.661 0.101
Cu2 0.869 0.392 0.869
Cu3 0.899 0.339 0.339
Cu4 0.131 0.131 0.608
Cu5 0.339 0.339 0.899
Cu6 0.101 0.661 0.661
Cu7 0.339 0.899 0.339
Cu8 0.131 0.608 0.131
Be1 0.500 0.000 0.000
Zn1 0.000 0.000 0.000
Cu9 0.608 0.131 0.131
Be2 0.000 0.500 0.000
Be3 0.000 0.000 0.500
Cu10 0.392 0.869 0.869
Cu11 0.661 0.101 0.661
Cu12 0.869 0.869 0.392
Ho2 0.602 0.602 0.602
```

---

# 2
Here is Ho2BeZn12Cu3 after structural relaxation from the Alexandria database. Energies are from PBE-GGA.

Computed properties:
SG: R-3m
Formation energy in meV/atom: 16
Calculated density in g/cm3: 7.095
Energy in Ha/atom: -0.0820

Cell and atoms, written as CIF:
```
data_Ho2BeZn12Cu3
_chemical_formula_sum 'Ho2 Be1 Zn12 Cu3'
_cell_length_a 11.426
_cell_length_b 11.426
_cell_length_c 11.426
_cell_angle_alpha 28.88
_cell_angle_beta 28.88
_cell_angle_gamma 28.88
_symmetry_space_group_name_H-M 'P 1'
_symmetry_Int_Tables_number 1
loop_
_symmetry_equiv_pos_as_xyz
'x,y,z'
loop_
_atom_site_label
_atom_site_fract_x
_atom_site_fract_y
_atom_site_fract_z
Zn1 0.888 0.888 0.384
Zn2 0.141 0.598 0.598
Zn3 0.384 0.888 0.888
Zn4 0.402 0.859 0.402
Ho1 0.360 0.360 0.360
Zn5 0.598 0.141 0.598
Cu1 0.000 0.500 0.000
Zn6 0.888 0.384 0.888
Zn7 0.112 0.616 0.112
Be1 0.000 0.000 0.000
Zn8 0.616 0.112 0.112
Ho2 0.640 0.640 0.640
Zn9 0.598 0.598 0.141
Zn10 0.859 0.402 0.402
Zn11 0.112 0.112 0.616
Zn12 0.402 0.402 0.859
Cu2 0.500 0.000 0.000
Cu3 0.000 0.000 0.500
```

---

# 3
Here is Ho2BeZn3Cu12 after structural relaxation from the Alexandria database. Energies are from PBE-GGA.

Computed properties:
SG: R-3m
Formation energy in meV/atom: 116
Calculated density in g/cm3: 7.640
Energy in Ha/atom: -0.1302

Cell and atoms, written as CIF:
```
data_Ho2BeZn3Cu12
_chemical_formula_sum 'Ho2 Be1 Zn3 Cu12'
_cell_length_a 9.115
_cell_length_b 9.115
_cell_length_c 9.115
_cell_angle_alpha 40.01
_cell_angle_beta 40.01
_cell_angle_gamma 40.01
_symmetry_space_group_name_H-M 'P 1'
_symmetry_Int_Tables_number 1
loop_
_symmetry_equiv_pos_as_xyz
'x,y,z'
loop_
_atom_site_label
_atom_site_fract_x
_atom_site_fract_y
_atom_site_fract_z
Cu1 0.074 0.074 0.657
Cu2 0.810 0.422 0.422
Be1 0.000 0.000 0.000
Cu3 0.190 0.578 0.578
Zn1 0.500 0.000 0.000
Cu4 0.926 0.926 0.343
Ho1 0.653 0.653 0.653
Cu5 0.657 0.074 0.074
Cu6 0.926 0.343 0.926
Cu7 0.422 0.810 0.422
Cu8 0.578 0.578 0.190
Cu9 0.074 0.657 0.074
Zn2 0.000 0.000 0.500
Ho2 0.347 0.347 0.347
Cu10 0.578 0.190 0.578
Cu11 0.343 0.926 0.926
Cu12 0.422 0.422 0.810
Zn3 0.000 0.500 0.000
```